Here is an optimized crystal structure of Ta3OsRh3 from Alexandria via LeMat-Bulk. Energies are from PBE.

Structure (extended XYZ):
```
28
Lattice="7.755 0.000 0.000 0.000 7.755 0.000 0.000 0.000 7.755" Properties=species:S:1:pos:R:3 pbc="T T T"
Rh 2.646 1.231 6.524
Rh 1.302 1.302 1.302
Rh 6.524 2.646 1.231
Rh 7.474 7.474 7.474
Rh 6.453 5.180 2.575
Rh 5.109 5.109 5.109
Rh 2.575 6.453 5.180
Rh 5.180 2.575 6.453
Rh 4.159 0.282 3.596
Rh 1.231 6.524 2.646
Rh 0.282 3.596 4.159
Rh 3.596 4.159 0.282
Ta 6.755 0.302 2.395
Ta 2.878 3.575 5.360
Ta 1.000 4.180 1.482
Ta 2.395 6.755 0.302
Ta 7.453 6.273 4.878
Ta 1.482 1.000 4.180
Ta 4.180 1.482 1.000
Ta 4.878 7.453 6.273
Ta 0.302 2.395 6.755
Ta 5.360 2.878 3.575
Ta 3.575 5.360 2.878
Ta 6.273 4.878 7.453
Os 4.887 6.746 1.009
Os 6.746 1.009 4.887
Os 2.869 2.869 2.869
Os 1.009 4.887 6.746
```

## Properties
* volume: 466.5 Å³/cell
* ΔH_f (0 K): -0.275 eV per atom
* total energy: -10.11 eV/atom